Compound: BeNi2Se2
Source: Alexandria via LeMat-Bulk
Functional: PBE
Structure: optimized geometry

Results
V (Å³/atom): 16.17
Space-group type: I4/mmm (139)
Energy relative to the lowest polymorph listed for this composition (eV/atom): 0.4227
Final energy (eV per cell): -19.38
Total magnetic moment (μB per cell): 0.00

Unit cell a=6.018 b=6.018 c=6.018 alpha=142.32 beta=142.32 gamma=54.34
Atoms (fractional coordinates):
1 Be 0.000 0.000 0.000
2 Ni 0.390 0.390 0.000
3 Ni 0.610 0.610 0.000
4 Se 0.250 0.750 0.500
5 Se 0.750 0.250 0.500

=====

Compound: HfVSn3
Source: Alexandria via LeMat-Bulk
Functional: PBE
Structure: optimized geometry

Results
V (Å³/atom): 25.94
Space-group type: Pm-3m (221)
Energy relative to the lowest polymorph listed for this composition (eV/atom): 0.0000
Final energy (eV per cell): -27.92
E_form (eV per atom): 0.63
Total magnetic moment (μB per cell): 0.00

Unit cell a=5.062 b=5.062 c=5.062 alpha=90.00 beta=90.00 gamma=90.00
Atoms (fractional coordinates):
1 Hf 0.000 0.000 0.000
2 V 0.500 0.500 0.500
3 Sn 0.000 0.500 0.500
4 Sn 0.500 0.000 0.500
5 Sn 0.500 0.500 0.000

=====

Compound: PaZn2Fe5
Source: Alexandria via LeMat-Bulk
Functional: PBE
Structure: optimized geometry

Results
V (Å³/atom): 14.20
Space-group type: Immm (71)
Final energy (eV per cell): -53.07
E_form (eV per atom): 0.16
Total magnetic moment (μB per cell): 9.59

Unit cell a=6.494 b=6.494 c=6.494 alpha=153.22 beta=111.00 gamma=75.45
Atoms (fractional coordinates):
1 Pa 0.000 0.000 0.000
2 Zn 0.253 0.753 0.500
3 Zn 0.747 0.247 0.500
4 Fe 0.164 0.372 0.791
5 Fe 0.419 0.628 0.791
6 Fe 0.500 0.000 0.500
7 Fe 0.581 0.372 0.209
8 Fe 0.836 0.628 0.209

=====

Compound: Zr2Sn2F
Source: Alexandria via LeMat-Bulk
Functional: PBE
Structure: optimized geometry

Results
V (Å³/atom): 20.64
Space-group type: P4/mbm (127)
Final energy (eV per cell): -63.49
Total magnetic moment (μB per cell): 0.00

Unit cell a=6.379 b=6.379 c=5.073 alpha=90.00 beta=90.00 gamma=90.00
Atoms (fractional coordinates):
1 Zr 0.161 0.339 0.000
2 Zr 0.339 0.839 0.000
3 Zr 0.661 0.161 0.000
4 Zr 0.839 0.661 0.000
5 Sn 0.166 0.666 0.500
6 Sn 0.334 0.166 0.500
7 Sn 0.666 0.834 0.500
8 Sn 0.834 0.334 0.500
9 F 0.000 0.000 0.000
10 F 0.500 0.500 0.000

=====

Compound: VP3I
Source: Alexandria via LeMat-Bulk
Functional: PBE
Structure: optimized geometry

Results
V (Å³/atom): 19.95
Space-group type: Pm-3m (221)
Energy relative to the lowest polymorph listed for this composition (eV/atom): 0.0000
Final energy (eV per cell): -25.04
Total magnetic moment (μB per cell): 0.00

Unit cell a=4.638 b=4.638 c=4.638 alpha=90.00 beta=90.00 gamma=90.00
Atoms (fractional coordinates):
1 V 0.000 0.000 0.000
2 P 0.000 0.000 0.500
3 P 0.000 0.500 0.000
4 P 0.500 0.000 0.000
5 I 0.500 0.500 0.500

=====

Compound: Rb4AsI
Source: Alexandria via LeMat-Bulk
Functional: PBE
Structure: optimized geometry

Results
V (Å³/atom): 48.13
Space-group type: Pnma (62)
Final energy (eV per cell): -56.71
Total magnetic moment (μB per cell): 0.00

Unit cell a=9.159 b=5.540 c=22.763 alpha=90.00 beta=90.00 gamma=90.00
Atoms (fractional coordinates):
1 Rb 0.005 0.250 0.062
2 Rb 0.082 0.250 0.797
3 Rb 0.096 0.250 0.362
4 Rb 0.142 0.250 0.535
5 Rb 0.358 0.750 0.035
6 Rb 0.404 0.750 0.862
7 Rb 0.418 0.750 0.297
8 Rb 0.495 0.750 0.562
9 Rb 0.505 0.250 0.438
10 Rb 0.582 0.250 0.703
11 Rb 0.596 0.250 0.138
12 Rb 0.642 0.250 0.965
13 Rb 0.858 0.750 0.465
14 Rb 0.904 0.750 0.638
15 Rb 0.918 0.750 0.203
16 Rb 0.995 0.750 0.938
17 As 0.249 0.750 0.436
18 As 0.251 0.250 0.936
19 As 0.749 0.750 0.064
20 As 0.751 0.250 0.564
21 I 0.218 0.250 0.205
22 I 0.282 0.750 0.705
23 I 0.718 0.250 0.295
24 I 0.782 0.750 0.795

=====

Compound: NpTeI6
Source: Alexandria via LeMat-Bulk
Functional: PBE
Structure: optimized geometry

Results
V (Å³/atom): 52.64
Space-group type: C2/m (12)
Final energy (eV per cell): -29.15
Total magnetic moment (μB per cell): 2.97

Unit cell a=7.813 b=7.813 c=8.564 alpha=105.58 beta=105.58 gamma=112.87
Atoms (fractional coordinates):
1 Np 0.000 0.000 0.000
2 Te 0.500 0.500 0.500
3 I 0.089 0.414 0.263
4 I 0.205 0.205 0.813
5 I 0.414 0.089 0.263
6 I 0.586 0.911 0.737
7 I 0.795 0.795 0.187
8 I 0.911 0.586 0.737

=====

Compound: BaGaSn2
Source: Alexandria via LeMat-Bulk
Functional: PBE
Structure: optimized geometry

Results
V (Å³/atom): 31.07
Space-group type: P2_1/m (11)
Final energy (eV per cell): -29.52
E_form (eV per atom): -0.45
Total magnetic moment (μB per cell): 0.00

Unit cell a=5.369 b=4.843 c=9.882 alpha=90.00 beta=104.65 gamma=90.00
Atoms (fractional coordinates):
1 Ba 0.083 0.250 0.213
2 Ba 0.917 0.750 0.787
3 Ga 0.297 0.250 0.643
4 Ga 0.703 0.750 0.357
5 Sn 0.261 0.750 0.494
6 Sn 0.447 0.750 0.077
7 Sn 0.553 0.250 0.923
8 Sn 0.739 0.250 0.506

=====

Compound: MnCoAu2
Source: Alexandria via LeMat-Bulk
Functional: PBE
Structure: optimized geometry

Results
V (Å³/atom): 15.50
Space-group type: Cmmm (65)
Final energy (eV per cell): -22.33
E_form (eV per atom): 0.13
Total magnetic moment (μB per cell): 5.73

Unit cell a=4.728 b=4.728 c=2.925 alpha=90.00 beta=90.00 gamma=108.43
Atoms (fractional coordinates):
1 Mn 0.000 0.000 0.000
2 Co 0.500 0.500 0.000
3 Au 0.000 0.500 0.500
4 Au 0.500 0.000 0.500

=====

Compound: Cu2Rh6W
Source: Alexandria via LeMat-Bulk
Functional: PBE
Structure: optimized geometry

Results
V (Å³/atom): 15.34
Space-group type: Imm2 (44)
Final energy (eV per cell): -62.63
E_form (eV per atom): 0.29
Total magnetic moment (μB per cell): 0.00

Unit cell a=7.938 b=7.938 c=7.938 alpha=154.95 beta=139.16 gamma=48.51
Atoms (fractional coordinates):
1 Cu 0.000 0.000 0.000
2 Cu 0.196 0.196 0.000
3 Rh 0.052 0.795 0.257
4 Rh 0.205 0.425 0.780
5 Rh 0.357 0.602 0.755
6 Rh 0.538 0.795 0.743
7 Rh 0.644 0.425 0.220
8 Rh 0.848 0.602 0.245
9 W 0.698 0.198 0.500

=====

Compound: Tb2MgGe3Pd4
Source: Alexandria via LeMat-Bulk
Functional: PBE
Structure: optimized geometry

Results
V (Å³/atom): 19.00
Space-group type: P-4m2 (115)
Final energy (eV per cell): -53.33
E_form (eV per atom): -0.79
Total magnetic moment (μB per cell): 0.00

Unit cell a=4.233 b=4.233 c=10.606 alpha=90.00 beta=90.00 gamma=90.00
Atoms (fractional coordinates):
1 Tb 0.000 0.500 0.238
2 Tb 0.500 0.000 0.762
3 Mg 0.000 0.000 0.500
4 Ge 0.000 0.500 0.869
5 Ge 0.500 0.000 0.131
6 Ge 0.500 0.500 0.500
7 Pd 0.000 0.000 0.000
8 Pd 0.000 0.500 0.640
9 Pd 0.500 0.000 0.360
10 Pd 0.500 0.500 0.000

=====

Compound: ZnGaH
Source: Alexandria via LeMat-Bulk
Functional: PBE
Structure: optimized geometry

Results
V (Å³/atom): 15.60
Space-group type: P-1 (2)
Energy relative to the lowest polymorph listed for this composition (eV/atom): 0.0000
Final energy (eV per cell): -14.88
Total magnetic moment (μB per cell): 0.00

Unit cell a=4.644 b=4.781 c=4.790 alpha=118.35 beta=90.01 gamma=90.00
Atoms (fractional coordinates):
1 Zn 0.249 0.442 0.341
2 Zn 0.751 0.558 0.659
3 Ga 0.251 0.840 0.936
4 Ga 0.749 0.160 0.064
5 H 0.250 0.737 0.227
6 H 0.750 0.263 0.773